VASP calculation (SCAN) on a PBEsol-optimized structure of BaTcTe2.

Geometry as extended XYZ:
```
8
Lattice="-3.337 3.337 6.684 3.337 -3.337 6.684 3.337 3.337 -6.684" Properties=species:S:1:pos:R:3 pbc="T T T"
Ba 0.000 0.000 0.000
Ba 0.000 3.337 3.342
Tc 3.337 0.000 3.342
Tc 0.000 0.000 6.684
Te 1.668 -0.961 5.013
Te 2.376 1.668 1.671
Te 1.668 4.298 -1.671
Te 0.961 1.668 8.355
```

- Energy above the lowest structure with this stoichiometry: 0 meV per atom
- Energy: -300.92 eV per cell
- Symmetry: I-42d
- Formation energy without anion corrections: -0.337 eV/atom